VASP calculation (PBE) on a relaxed structure of Ti5Mn2H12.

Cell lengths 9.399, 5.042, 6.032 Å; angles 90.00, 103.40, 90.00 degrees
Space group C2/m (No. 12)
One atom of each set of equivalent atoms:
Ti 0.000 0.000 0.000 [2 per cell]
Ti 0.168 0.500 0.864 [4 per cell]
Ti 0.215 0.500 0.341 [4 per cell]
Mn 0.000 0.232 0.500 [4 per cell]
H 0.016 0.500 0.328 [4 per cell]
H 0.067 0.000 0.349 [4 per cell]
H 0.165 0.242 0.093 [8 per cell]
H 0.177 0.301 0.599 [8 per cell]



VASP calculation (PBE) on a relaxed structure of Ti2MnH2.

Cell lengths 3.016, 3.016, 10.550 Å; angles 90.00, 90.00, 90.00 degrees
Space group I4/mmm (No. 139)
One atom of each set of equivalent atoms:
Ti 0.000 0.000 0.137 [4 per cell]
Mn 0.000 0.000 0.500 [2 per cell]
H 0.000 0.500 0.250 [4 per cell]

Summary:
- ΔE to the lowest computed polymorph: 0.0000 eV per atom



VASP calculation (PBE) on a relaxed structure of Ti2MnH2.

Cell lengths 2.931, 2.931, 5.808 Å; angles 90.00, 90.00, 90.00 degrees
Space group P4/mmm (No. 123)
One atom of each set of equivalent atoms:
Ti 0.000 0.000 0.246 [2 per cell]
Mn 0.500 0.500 0.500 [1 per cell]
H 0.000 0.500 0.000 [2 per cell]

Summary:
- ΔE to the lowest computed polymorph: 0.1643 eV per atom



VASP calculation (PBE) on a relaxed structure of Ti2MnH.

Cell lengths 2.839, 2.839, 5.945 Å; angles 90.00, 90.00, 90.00 degrees
Space group P4/mmm (No. 123)
One atom of each set of equivalent atoms:
Ti 0.000 0.000 0.246 [2 per cell]
Mn 0.500 0.500 0.500 [1 per cell]
H 0.500 0.500 0.000 [1 per cell]

Summary:
- ΔE to the lowest computed polymorph: 0.1715 eV per atom



VASP calculation (PBE) on a relaxed structure of Ti2MnH2.

Cell lengths 6.276, 6.276, 2.539 Å; angles 90.00, 90.00, 90.00 degrees
Space group P4/mbm (No. 127)
One atom of each set of equivalent atoms:
Ti 0.158 0.342 0.000 [4 per cell]
Mn 0.000 0.000 0.000 [2 per cell]
H 0.120 0.620 0.500 [4 per cell]

Summary:
- ΔE to the lowest computed polymorph: 0.6756 eV per atom



VASP calculation (PBE) on a relaxed structure of TiMnH3.

Cell lengths 5.692, 4.061, 7.633 Å; angles 90.00, 131.14, 90.00 degrees
Space group P2_1/c (No. 14)
One atom of each set of equivalent atoms:
Ti 0.247 0.245 0.369 [4 per cell]
Mn 0.234 0.744 0.117 [4 per cell]
H 0.148 0.190 0.570 [4 per cell]
H 0.219 0.738 0.857 [4 per cell]
H 0.490 0.008 0.150 [4 per cell]



VASP calculation (PBE) on a relaxed structure of Ti2MnH.

Cell lengths 5.614, 5.614, 6.138 Å; angles 90.00, 90.00, 90.00 degrees
Space group I-42d (No. 122)
One atom of each set of equivalent atoms:
Ti 0.174 0.250 0.125 [8 per cell]
Mn 0.000 0.000 0.500 [4 per cell]
H 0.000 0.000 0.000 [4 per cell]

Summary:
- ΔE to the lowest computed polymorph: 0.1221 eV per atom



VASP calculation (PBE) on a relaxed structure of TiMn3H.

Cell lengths 4.572, 4.572, 4.572 Å; angles 90.00, 90.00, 90.00 degrees
Space group Pm-3m (No. 221)
One atom of each set of equivalent atoms:
Ti 0.000 0.000 0.000 [1 per cell]
Mn 0.000 0.000 0.500 [3 per cell]
H 0.500 0.500 0.500 [1 per cell]

Summary:
- ΔE to the lowest computed polymorph: 1.6957 eV per atom



VASP calculation (PBE) on a relaxed structure of TiMn2H6.

Cell lengths 3.008, 4.177, 8.698 Å; angles 90.00, 90.00, 90.00 degrees
Space group Immm (No. 71)
One atom of each set of equivalent atoms:
Ti 0.000 0.000 0.000 [2 per cell]
Mn 0.000 0.000 0.331 [4 per cell]
H 0.000 0.232 0.500 [4 per cell]
H 0.000 0.270 0.176 [8 per cell]



VASP calculation (PBE) on a relaxed structure of TiMn2H.

Cell lengths 7.022, 7.022, 7.022 Å; angles 90.00, 90.00, 90.00 degrees
Space group Fd-3m (No. 227, origin choice 2)
One atom of each set of equivalent atoms:
Ti 0.125 0.125 0.125 [8 per cell]
Mn 0.000 0.000 0.500 [16 per cell]
H 0.125 0.125 0.625 [8 per cell]

Summary:
- ΔE to the lowest computed polymorph: 0.0000 eV per atom



VASP calculation (PBE) on a relaxed structure of TiMn2H.

Cell lengths 5.713, 5.713, 5.713 Å; angles 90.00, 90.00, 90.00 degrees
Space group Fm-3m (No. 225)
One atom of each set of equivalent atoms:
Ti 0.000 0.000 0.000 [4 per cell]
Mn 0.250 0.250 0.250 [8 per cell]
H 0.000 0.000 0.500 [4 per cell]

Summary:
- ΔE to the lowest computed polymorph: 0.5521 eV per atom



VASP calculation (PBE) on a relaxed structure of Ti3Mn5H12.

Cell lengths 10.458, 10.458, 10.458 Å; angles 90.00, 90.00, 90.00 degrees
Space group Ia-3d (No. 230)
One atom of each set of equivalent atoms:
Ti 0.000 0.250 0.125 [24 per cell]
Mn 0.000 0.000 0.000 [16 per cell]
Mn 0.000 0.250 0.375 [24 per cell]
H 0.015 0.065 0.646 [96 per cell]



no.,final energy (eV per atom)
1,-5.44
2,-6.71
3,-6.55
4,-7.01
5,-6.03
6,-5.61
7,-7.06
8,-6.07
9,-5.30
10,-7.30
11,-6.75
12,-5.67